This record from Alexandria via LeMat-Bulk describes a relaxed Y2ReAg crystal. The functional is PBE.

Geometry as extended XYZ:
```
4
Lattice="3.5995 0.0000 0.0000 0.0000 3.5995 0.0000 0.0000 0.0000 7.4100" Properties=species:S:1:pos:R:3 pbc="T T T"
Y 0.0000 0.0000 0.0000
Y 1.7997 1.7997 2.8933
Re 1.7997 1.7997 5.7629
Ag 0.0000 0.0000 4.4777
```

Calculated values
magnetic moment = 0.0 Bohr magnetons per cell
formation energy = 0.395 eV per atom
space group = P4mm, No. 99
N(E_F) = 0.987 states/eV per atom